Record 1
DFT (GGA-PBE) results for a geometry-optimized AcRuN structure.

Cell lengths 3.4782, 3.4782, 5.2815 Å; angles 90.00, 90.00, 120.00 degrees
Space group P3m1 (No. 156)
Inequivalent atoms, fractional coordinates:
Ac: 0.0000 0.0000 0.0000 [1 per cell]
Ru: 0.3333 0.6667 0.4519 [1 per cell]
N: 0.6667 0.3333 0.3345 [1 per cell]

Polymorph energy (0 for the lowest one) ... 5.3 kJ/mol of atoms
N(E_F) ... 0.608 states/eV/atom
V ... 55.3 Å³ per cell
Raw total energy ... -7.266 eV per atom
Energy relative to the elements, uncorrected ... -0.1 eV/f.u.

Record 2
DFT (GGA-PBE) results for a geometry-optimized CuAgPt2 structure.

Cell lengths 3.784, 3.784, 18.848 Å; angles 90.00, 90.00, 90.00 degrees
Space group I-42d (No. 122)
Inequivalent atoms, fractional coordinates:
Cu: 0.000 0.000 0.000 [4 per cell]
Ag: 0.000 0.000 0.500 [4 per cell]
Pt: 0.242 0.250 0.125 [8 per cell]

Polymorph energy (0 for the lowest one) ... 38.4 kJ/mol of atoms
N(E_F) ... 0.660 states/eV/atom
Formation energy ... 0.2627 eV/atom
V ... 269.9 Å³ per cell
Raw total energy ... -4.495 eV per atom

Record 3
DFT (GGA-PBE) results for a geometry-optimized AcNdCuIr structure.

Cell lengths 7.314, 7.314, 7.314 Å; angles 90.00, 90.00, 90.00 degrees
Space group F-43m (No. 216)
Inequivalent atoms, fractional coordinates:
Ac: 0.000 0.000 0.000 [4 per cell]
Nd: 0.000 0.000 0.500 [4 per cell]
Cu: 0.250 0.250 0.250 [4 per cell]
Ir: 0.250 0.250 0.750 [4 per cell]

Polymorph energy (0 for the lowest one) ... 7.5 kJ/mol of atoms
N(E_F) ... 0.945 states/eV/atom
Formation energy ... -0.3388 eV/atom
V ... 391.2 Å³ per cell
Raw total energy ... -5.797 eV per atom

Record 4
DFT (GGA-PBE) results for a geometry-optimized NiSe structure.

Cell lengths 11.013, 4.003, 4.615 Å; angles 90.00, 90.00, 90.00 degrees
Space group Pmn2_1 (No. 31)
Inequivalent atoms, fractional coordinates:
Ni: 0.000 0.152 0.000 [2 per cell]
Ni: 0.195 0.360 0.249 [4 per cell]
Se: 0.000 0.648 0.242 [2 per cell]
Se: 0.178 0.156 0.741 [4 per cell]

N(E_F) ... 0.750 states/eV/atom
V ... 203.5 Å³ per cell
Raw total energy ... -4.876 eV per atom
Energy relative to the elements, uncorrected ... -0.5 eV/f.u.

Record 5
DFT (GGA-PBE) results for a geometry-optimized La7SmDy2 structure.

Cell lengths 9.021, 16.304, 5.804 Å; angles 90.00, 90.00, 90.00 degrees
Space group Cmmm (No. 65)
Inequivalent atoms, fractional coordinates:
La: 0.000 0.000 0.000 [2 per cell]
La: 0.000 0.264 0.500 [4 per cell]
La: 0.182 0.385 0.000 [8 per cell]
Sm: 0.000 0.500 0.500 [2 per cell]
Dy: 0.000 0.204 0.000 [4 per cell]

Polymorph energy (0 for the lowest one) ... 25.6 kJ/mol of atoms
N(E_F) ... 1.826 states/eV/atom
Formation energy ... 0.5920 eV/atom
V ... 853.6 Å³ per cell
Raw total energy ... -4.250 eV per atom

Record 6
DFT (GGA-PBE) results for a geometry-optimized Na2Al2Pd structure.

Cell lengths 6.508, 6.508, 5.280 Å; angles 90.00, 90.00, 90.00 degrees
Space group P4/mbm (No. 127)
Inequivalent atoms, fractional coordinates:
Na: 0.178 0.322 0.000 [4 per cell]
Al: 0.147 0.647 0.500 [4 per cell]
Pd: 0.000 0.000 0.500 [2 per cell]

N(E_F) ... 0.354 states/eV/atom
Formation energy ... -0.1269 eV/atom
V ... 223.6 Å³ per cell
Raw total energy ... -3.190 eV per atom

Record 7
DFT (GGA-PBE) results for a geometry-optimized Zr2GaHPt structure.

Cell lengths 4.381, 4.381, 4.019 Å; angles 90.00, 90.00, 90.00 degrees
Space group P4/mmm (No. 123)
Inequivalent atoms, fractional coordinates:
Zr: 0.000 0.500 0.000 [2 per cell]
Ga: 0.000 0.000 0.500 [1 per cell]
H: 0.500 0.500 0.000 [1 per cell]
Pt: 0.500 0.500 0.500 [1 per cell]

N(E_F) ... 0.905 states/eV/atom
V ... 77.1 Å³ per cell
Raw total energy ... -6.506 eV per atom

Record 8
DFT (GGA-PBE) results for a geometry-optimized Ba2LiCd4Ge3 structure.

Cell lengths 4.686, 4.686, 11.781 Å; angles 90.00, 90.00, 90.00 degrees
Space group P-4m2 (No. 115)
Inequivalent atoms, fractional coordinates:
Ba: 0.000 0.500 0.244 [2 per cell]
Li: 0.000 0.000 0.500 [1 per cell]
Cd: 0.000 0.000 0.000 [1 per cell]
Cd: 0.000 0.500 0.626 [2 per cell]
Cd: 0.500 0.500 0.000 [1 per cell]
Ge: 0.000 0.500 0.861 [2 per cell]
Ge: 0.500 0.500 0.500 [1 per cell]

N(E_F) ... 0.449 states/eV/atom
Formation energy ... -0.3446 eV/atom
V ... 258.7 Å³ per cell
Raw total energy ... -2.672 eV per atom

Record 9
DFT (GGA-PBE) results for a geometry-optimized SiSe2IBr structure.

Cell lengths 5.050, 5.050, 4.986 Å; angles 90.00, 90.00, 90.00 degrees
Space group P4/mmm (No. 123)
Inequivalent atoms, fractional coordinates:
Si: 0.000 0.000 0.000 [1 per cell]
Se: 0.000 0.500 0.000 [2 per cell]
I: 0.500 0.500 0.500 [1 per cell]
Br: 0.000 0.000 0.500 [1 per cell]

Polymorph energy (0 for the lowest one) ... 0.0 kJ/mol of atoms
N(E_F) ... 1.058 states/eV/atom
V ... 127.2 Å³ per cell
Raw total energy ... -2.813 eV per atom
Energy relative to the elements, uncorrected ... 1.5 eV/f.u.

Record 10
DFT (GGA-PBE) results for a geometry-optimized Ce4CS3 structure.

Cell lengths 5.578, 5.578, 5.578 Å; angles 90.00, 90.00, 90.00 degrees
Space group Pm-3m (No. 221)
Inequivalent atoms, fractional coordinates:
Ce: 0.000 0.000 0.000 [1 per cell]
Ce: 0.000 0.500 0.500 [3 per cell]
C: 0.500 0.500 0.500 [1 per cell]
S: 0.000 0.000 0.500 [3 per cell]

Polymorph energy (0 for the lowest one) ... 7.4 kJ/mol of atoms
N(E_F) ... 1.843 states/eV/atom
V ... 173.6 Å³ per cell
Raw total energy ... -7.170 eV per atom
Energy relative to the elements, uncorrected ... -12.0 eV/f.u.

Record 11
DFT (GGA-PBE) results for a geometry-optimized Y2FeRu structure.

Cell lengths 3.391, 4.747, 10.391 Å; angles 90.00, 90.00, 90.00 degrees
Space group Imm2 (No. 44)
Inequivalent atoms, fractional coordinates:
Y: 0.000 0.000 0.000 [2 per cell]
Y: 0.000 0.500 0.214 [2 per cell]
Fe: 0.000 0.500 0.783 [2 per cell]
Ru: 0.000 0.000 0.457 [2 per cell]

N(E_F) ... 0.826 states/eV/atom
Formation energy ... -0.0326 eV/atom
V ... 167.2 Å³ per cell
Raw total energy ... -7.699 eV per atom

Record 12
DFT (GGA-PBE) results for a geometry-optimized HfNb2V structure.

Cell lengths 7.304, 7.304, 5.654 Å; angles 90.00, 90.00, 90.00 degrees
Space group I-42d (No. 122)
Inequivalent atoms, fractional coordinates:
Hf: 0.000 0.000 0.000 [4 per cell]
Nb: 0.221 0.250 0.625 [8 per cell]
V: 0.000 0.000 0.500 [4 per cell]

Polymorph energy (0 for the lowest one) ... 45.0 kJ/mol of atoms
N(E_F) ... 1.283 states/eV/atom
Formation energy ... 0.5338 eV/atom
V ... 301.6 Å³ per cell
Raw total energy ... -9.269 eV per atom